A relaxed CaTbZnPd crystal. Source: Alexandria, functional PBE-GGA.

Cell lengths 7.116, 7.116, 7.116 Å; angles 90.00, 90.00, 90.00 degrees
Space group F-43m (No. 216)
Asymmetric unit:
Ca (0.000, 0.000, 0.000)
Tb (0.000, 0.000, 0.500)
Zn (0.250, 0.250, 0.750)
Pd (0.250, 0.250, 0.250)

Its density of states at the Fermi level is 0.852 states/eV/atom. The energy relative to the lowest polymorph listed for this composition is 34 meV per atom. The formation energy from the elements comes out at -2.1 eV per formula unit.